## A
Here is a geometry-optimized Pm7Sm12Tm structure from Alexandria. Energies are from PBE-GGA.

Computed properties:
Crystal system = cubic

abc: 11.4984 11.4984 11.4984
angles: 90.00 90.00 90.00
Space group Im-3m (No. 229)
Unique sites:
Pm (0.0000, 0.0000, 0.5000) x6
Pm (0.2500, 0.2500, 0.2500) x8
Sm (0.0000, 0.2470, 0.2470) x24
Tm (0.0000, 0.0000, 0.0000) x2

## B
Here is a geometry-optimized Pm7Sm12Tm structure from Alexandria. Energies are from PBE-GGA.

Computed properties:
Crystal system = trigonal

abc: 12.9713 12.9713 14.1462
angles: 90.00 90.00 120.00
Space group R-3 (No. 148, hexagonal axes)
Unique sites:
Pm (0.0000, 0.0000, 0.0000) x3
Pm (0.0664, 0.1978, 0.3430) x18
Sm (0.0043, 0.4345, 0.2460) x18
Sm (0.0657, 0.8642, 0.8526) x18
Tm (0.0000, 0.0000, 0.5000) x3

Relative stability in eV/atom, measured from the most stable structure: A 0.364; B 0.000

## A
Here is a geometry-optimized Pm8SmTm6 structure from Alexandria. Energies are from PBE-GGA.

Computed properties:
Crystal system = trigonal

abc: 9.4355 9.4355 6.4376
angles: 90.00 90.00 120.00
Space group P-3 (No. 147)
Unique sites:
Pm (0.0411, 0.2851, 0.3250) x6
Pm (0.3333, 0.6667, 0.3660) x2
Sm (0.0000, 0.0000, 0.0000) x1
Tm (0.0972, 0.4460, 0.8322) x6

## B
Here is a geometry-optimized Pm8SmTm6 structure from Alexandria. Energies are from PBE-GGA.

Computed properties:
Crystal system = trigonal

abc: 9.0549 9.0549 20.8545
angles: 90.00 90.00 120.00
Space group R-3 (No. 148, hexagonal axes)
Unique sites:
Pm (0.0000, 0.0000, 0.0776) x6
Pm (0.0808, 0.5231, 0.3065) x18
Sm (0.0000, 0.0000, 0.5000) x3
Tm (0.0451, 0.8026, 0.2055) x18

Relative stability in eV/atom, measured from the most stable structure: A 0.052; B 0.000

## A
Here is a geometry-optimized Pm3Sm7Tm structure from Alexandria. Energies are from PBE-GGA.

Computed properties:
Crystal system = orthorhombic

abc: 18.6629 7.1409 11.3472
angles: 90.00 90.00 90.00
Space group Cmcm (No. 63)
Unique sites:
Pm (0.0000, 0.0000, 0.0000) x4
Pm (0.2479, 0.0008, 0.2500) x8
Sm (0.0000, 0.2613, 0.2500) x4
Sm (0.0856, 0.2576, 0.7500) x8
Sm (0.1605, 0.2513, 0.0269) x16
Tm (0.0000, 0.5000, 0.0000) x4

## B
Here is a geometry-optimized Pm3Sm7Tm structure from Alexandria. Energies are from PBE-GGA.

Computed properties:
Crystal system = orthorhombic

abc: 5.9281 11.3125 11.3452
angles: 90.00 90.00 90.00
Space group Immm (No. 71)
Unique sites:
Pm (0.0000, 0.0000, 0.0000) x2
Pm (0.0000, 0.2906, 0.5000) x4
Sm (0.0000, 0.0000, 0.5000) x2
Sm (0.0000, 0.2058, 0.1965) x8
Sm (0.0000, 0.5000, 0.2907) x4
Tm (0.0000, 0.5000, 0.0000) x2

Relative stability in eV/atom, measured from the most stable structure: A 0.000; B 0.100

## A
Here is a geometry-optimized PmSm6Tm12 structure from Alexandria. Energies are from PBE-GGA.

Computed properties:
Crystal system = trigonal

abc: 15.4215 15.4215 8.6719
angles: 90.00 90.00 120.00
Space group R-3 (No. 148, hexagonal axes)
Unique sites:
Pm (0.0000, 0.0000, 0.0000) x3
Sm (0.0353, 0.7556, 0.3341) x18
Tm (0.0178, 0.8777, 0.6667) x18
Tm (0.0706, 0.5095, 0.6665) x18

## B
Here is a geometry-optimized PmSm6Tm12 structure from Alexandria. Energies are from PBE-GGA.

Computed properties:
Crystal system = trigonal

abc: 13.4208 13.4208 12.4208
angles: 90.00 90.00 120.00
Space group R-3m (No. 166, hexagonal axes)
Unique sites:
Pm (0.0000, 0.0000, 0.0000) x3
Sm (0.0183, 0.5092, 0.7217) x18
Tm (0.0000, 0.3831, 0.5000) x18
Tm (0.0956, 0.1911, 0.3685) x18

Relative stability in eV/atom, measured from the most stable structure: A 0.000; B 0.453

## A
Here is a geometry-optimized Pm7Sm3Tm2 structure from Alexandria. Energies are from PBE-GGA.

Computed properties:
Crystal system = monoclinic

abc: 5.9116 3.6054 19.0691
angles: 90.00 93.30 90.00
Space group P2/m (No. 10)
Unique sites:
Pm (0.0000, 0.0000, 0.0000) x1
Pm (0.1856, 0.5000, 0.1824) x2
Pm (0.2571, 0.5000, 0.5351) x2
Pm (0.3163, 0.0000, 0.8544) x2
Sm (0.2189, 0.0000, 0.3664) x2
Sm (0.5000, 0.5000, 0.0000) x1
Tm (0.2905, 0.5000, 0.7040) x2

## B
Here is a geometry-optimized Pm7Sm3Tm2 structure from Alexandria. Energies are from PBE-GGA.

Computed properties:
Crystal system = triclinic

abc: 5.6249 6.2780 12.1855
angles: 88.15 89.98 89.53
Space group P-1 (No. 2)
Unique sites:
Pm (0.0000, 0.0000, 0.0000) x1
Pm (0.9998, 0.4400, 0.8131) x2
Pm (0.4930, 0.2438, 0.5493) x2
Pm (0.4992, 0.0921, 0.8308) x2
Sm (0.0017, 0.0648, 0.3386) x2
Sm (0.5000, 0.5000, 0.0000) x1
Tm (0.5004, 0.3745, 0.2783) x2

Relative stability in eV/atom, measured from the most stable structure: A 0.000; B 0.185

## A
Here is a geometry-optimized Pm7SmTm3 structure from Alexandria. Energies are from PBE-GGA.

Computed properties:
Crystal system = monoclinic

abc: 19.0815 7.2048 12.4697
angles: 90.00 115.78 90.00
Space group C2/c (No. 15)
Unique sites:
Pm (0.0000, 0.2355, 0.2500) x4
Pm (0.1610, 0.4933, 0.7750) x8
Pm (0.1682, 0.2480, 0.5300) x8
Pm (0.1682, 0.2488, 0.0293) x8
Sm (0.0000, 0.0000, 0.0000) x4
Tm (0.0000, 0.5000, 0.0000) x4
Tm (0.1689, 0.0033, 0.2765) x8

## B
Here is a geometry-optimized Pm7SmTm3 structure from Alexandria. Energies are from PBE-GGA.

Computed properties:
Crystal system = trigonal

abc: 7.1703 7.1703 8.6355
angles: 90.00 90.00 120.00
Space group P3m1 (No. 156)
Unique sites:
Pm (0.0000, 0.0000, 0.0000) x1
Pm (0.1660, 0.3320, 0.3337) x3
Pm (0.5007, 0.0014, 0.9845) x3
Sm (0.6667, 0.3333, 0.3185) x1
Tm (0.3336, 0.1668, 0.6589) x3

Relative stability in eV/atom, measured from the most stable structure: A 0.000; B 0.012

## A
Here is a geometry-optimized Pm12SmTm7 structure from Alexandria. Energies are from PBE-GGA.

Computed properties:
Crystal system = trigonal

abc: 19.5797 19.5797 6.1599
angles: 90.00 90.00 120.00
Space group R-3 (No. 148, hexagonal axes)
Unique sites:
Pm (0.9998, 0.4130, 0.9999) x18
Pm (0.0977, 0.5485, 0.4648) x18
Sm (0.0000, 0.0000, 0.5000) x3
Tm (0.0000, 0.0000, 0.0000) x3
Tm (0.0811, 0.1628, 0.2916) x18

## B
Here is a geometry-optimized Pm12SmTm7 structure from Alexandria. Energies are from PBE-GGA.

Computed properties:
Crystal system = trigonal

abc: 13.3359 13.3359 12.8882
angles: 90.00 90.00 120.00
Space group R-3m (No. 166, hexagonal axes)
Unique sites:
Pm (0.0000, 0.2628, 0.0000) x18
Pm (0.0889, 0.1778, 0.7689) x18
Sm (0.0000, 0.0000, 0.5000) x3
Tm (0.0000, 0.0000, 0.0000) x3
Tm (0.0425, 0.5212, 0.1191) x18

Relative stability in eV/atom, measured from the most stable structure: A 0.156; B 0.000

## A
Here is a geometry-optimized Pm3SmTm7 structure from Alexandria. Energies are from PBE-GGA.

Computed properties:
Crystal system = monoclinic

abc: 6.9315 5.4799 9.9611
angles: 90.00 110.29 90.00
Space group P2/m (No. 10)
Unique sites:
Pm (0.0000, 0.0000, 0.0000) x1
Pm (0.2836, 0.5000, 0.4994) x2
Sm (0.5000, 0.0000, 0.0000) x1
Tm (0.0000, 0.0000, 0.5000) x1
Tm (0.1448, 0.5000, 0.7886) x2
Tm (0.3203, 0.5000, 0.1393) x2
Tm (0.4167, 0.0000, 0.3301) x2

## B
Here is a geometry-optimized Pm3SmTm7 structure from Alexandria. Energies are from PBE-GGA.

Computed properties:
Crystal system = trigonal

abc: 7.0097 7.0097 8.6268
angles: 90.00 90.00 120.00
Space group P3m1 (No. 156)
Unique sites:
Pm (0.1670, 0.3340, 0.0000) x3
Sm (0.0000, 0.0000, 0.6615) x1
Tm (0.0016, 0.5008, 0.6599) x3
Tm (0.3324, 0.1662, 0.3365) x3
Tm (0.3333, 0.6667, 0.3372) x1

Relative stability in eV/atom, measured from the most stable structure: A 0.000; B 0.026